(1)
The following is a DFT calculation (PBE) of a relaxed structure of CePm4Dy3.

Cell: 3.4434 6.8597 11.9000 Å, 106.66 98.32 90.00°
Site moments in Bohr magnetons follow the coordinates.
Sites, in units of the cell vectors:
Pm1 0.8774 0.6358 0.7547  0.00
Pm2 0.1226 0.3642 0.2453  0.00
Pm3 0.7415 0.2374 0.4830  -0.02
Pm4 0.2585 0.7626 0.5170  -0.02
Dy1 0.1231 0.8819 0.2461  0.01
Dy2 0.8769 0.1181 0.7539  0.01
Dy3 0.0000 0.5000 0.0000  0.05
Ce1 0.5000 0.0000 0.0000  0.69

Summary:
* magnetization: 0.9 μB/f.u.
* N(E_F): 1.956 states/eV per atom
* ΔH_f (0 K): 0.19 eV per atom
* uncorrected energy: -37.2 eV per cell


(2)
The following is a DFT calculation (PBE) of a relaxed structure of Tl2FeTc.

Cell: 3.0476 3.0305 8.6641 Å, 79.91 90.00 90.00°
Site moments in Bohr magnetons follow the coordinates.
Sites, in units of the cell vectors:
Fe1 0.0000 0.4139 0.5466  1.87
Tl1 0.0000 0.2130 0.9506  -0.01
Tl2 0.5000 0.0341 0.3063  -0.01
Tc1 0.5000 0.8391 0.6965  -0.18

Summary:
* magnetization: 1.6 μB/f.u.
* N(E_F): 0.941 states/eV per atom
* ΔH_f (0 K): 0.46 eV per atom
* uncorrected energy: -21.7 eV per cell
* ΔE to the lowest computed polymorph: 0 meV per atom


(3)
The following is a DFT calculation (PBE) of a relaxed structure of GePRh2.

Cell: 4.2999 4.2999 4.2999 Å, 60.00 60.00 60.00°
Sites, in units of the cell vectors:
Ge1 0.5000 0.5000 0.5000
Rh1 0.2500 0.2500 0.2500
Rh2 0.7500 0.7500 0.7500
P1 0.0000 0.0000 0.0000

Summary:
* magnetization: 0.0 μB/f.u.
* N(E_F): 1.434 states/eV per atom
* ΔH_f (0 K): -0.19 eV per atom
* uncorrected energy: -25.5 eV per cell


(4)
The following is a DFT calculation (PBE) of a relaxed structure of CrP2Au.

Cell: 4.2230 4.2230 5.0743 Å, 78.48 78.48 44.09°
Site moments in Bohr magnetons follow the coordinates.
Sites, in units of the cell vectors:
Cr1 0.2642 0.2642 0.0969  0.41
Au1 0.5141 0.5141 0.5153  0.01
P1 0.9699 0.9699 0.1186  -0.02
P2 0.7518 0.7518 0.7692  -0.01

Summary:
* magnetization: 0.4 μB/f.u.
* N(E_F): 0.619 states/eV per atom
* ΔH_f (0 K): 0.04 eV per atom
* uncorrected energy: -23.6 eV per cell
* ΔE to the lowest computed polymorph: 28 meV per atom


(5)
The following is a DFT calculation (PBE) of a relaxed structure of Nd8Sm3Dy3.

Cell: 5.7411 9.8482 9.8482 Å, 102.15 73.07 73.07°
Sites, in units of the cell vectors:
Dy1 0.1998 0.8003 0.8003
Dy2 0.8002 0.1997 0.1997
Dy3 0.5000 0.5000 0.5000
Nd1 0.1623 0.4413 0.2340
Nd2 0.3414 0.4357 0.8814
Nd3 0.8377 0.7660 0.5587
Nd4 0.1623 0.2340 0.4413
Nd5 0.3414 0.8814 0.4357
Nd6 0.6586 0.5643 0.1186
Nd7 0.8377 0.5587 0.7660
Nd8 0.6586 0.1186 0.5643
Sm1 0.0000 0.8202 0.1798
Sm2 0.5000 0.0000 0.0000
Sm3 0.0000 0.1798 0.8202

Summary:
* magnetization: 0.0 μB/f.u.
* N(E_F): 1.362 states/eV per atom
* ΔH_f (0 K): 0.10 eV per atom
* uncorrected energy: -64.7 eV per cell


(6)
The following is a DFT calculation (PBE) of a relaxed structure of Tm5ZrAl3.

Cell: 6.4174 8.8828 8.8829 Å, 120.00 90.00 90.00°
Site moments in Bohr magnetons follow the coordinates.
Sites, in units of the cell vectors:
Tm1 0.7500 0.3264 0.0000  0.14
Tm2 0.5000 0.3333 0.6667  0.07
Tm3 0.0000 0.6667 0.3333  0.07
Tm4 0.2500 0.6736 0.0000  0.14
Tm5 0.7500 0.0000 0.3265  0.14
Tm6 0.2500 0.0000 0.6735  0.14
Tm7 0.0000 0.3333 0.6667  0.07
Tm8 0.5000 0.6667 0.3333  0.07
Tm9 0.7500 0.6735 0.6735  0.14
Tm10 0.2500 0.3265 0.3265  0.14
Al1 0.7500 0.0000 0.6650  -0.01
Al2 0.7500 0.6650 0.0000  -0.01
Al3 0.2500 0.0000 0.3350  -0.01
Al4 0.2500 0.3350 0.0000  -0.01
Al5 0.2500 0.6650 0.6650  -0.01
Al6 0.7500 0.3350 0.3350  -0.01
Zr1 0.5000 0.0000 0.0000  0.49
Zr2 0.0000 0.0000 0.0000  0.49

Summary:
* magnetization: 1.4 μB/f.u.
* N(E_F): 0.881 states/eV per atom
* ΔH_f (0 K): -0.25 eV per atom
* uncorrected energy: -88.8 eV per cell


(7)
The following is a DFT calculation (PBE) of a relaxed structure of HgMoOs.

Cell: 4.3724 4.3724 4.3724 Å, 60.00 60.00 60.00°
Sites, in units of the cell vectors:
Hg1 0.0000 0.0000 0.0000
Mo1 0.5000 0.5000 0.5000
Os1 0.2500 0.2500 0.2500

Summary:
* magnetization: 0.0 μB/f.u.
* N(E_F): 1.442 states/eV per atom
* ΔH_f (0 K): 0.91 eV per atom
* uncorrected energy: -19.6 eV per cell
* ΔE to the lowest computed polymorph: 519 meV per atom


(8)
The following is a DFT calculation (PBE) of a relaxed structure of AcSmRu.

Cell: 5.0324 5.0324 5.0324 Å, 60.00 60.00 60.00°
Sites, in units of the cell vectors:
Ru1 0.2500 0.2500 0.2500
Ac1 0.5000 0.5000 0.5000
Sm1 0.0000 0.0000 0.0000

Summary:
* magnetization: 0.0 μB/f.u.
* N(E_F): 0.758 states/eV per atom
* ΔH_f (0 K): -0.13 eV per atom
* uncorrected energy: -18.5 eV per cell
* ΔE to the lowest computed polymorph: 68 meV per atom


(9)
The following is a DFT calculation (PBE) of a relaxed structure of RbMg2SiRh.

Cell: 5.1790 5.1790 4.6327 Å, 90.00 90.00 90.00°
Sites, in units of the cell vectors:
Mg1 0.0000 0.5000 0.0000
Mg2 0.5000 0.0000 0.0000
Si1 0.0000 0.0000 0.5000
Rb1 0.5000 0.5000 0.5000
Rh1 0.0000 0.0000 0.0000

Summary:
* magnetization: 0.0 μB/f.u.
* N(E_F): 0.415 states/eV per atom
* formation energy without anion corrections: -0.1914 eV/atom
* uncorrected energy: -17.9 eV per cell


(10)
The following is a DFT calculation (PBE) of a relaxed structure of Ca3Zn4Ag2.

Cell: 4.5432 5.9489 8.7861 Å, 108.80 90.00 112.45°
Sites, in units of the cell vectors:
Ca1 0.0000 0.0000 0.0000
Ca2 0.3290 0.6580 0.3370
Ca3 0.6710 0.3420 0.6630
Ag1 0.3946 0.7892 0.7285
Ag2 0.6054 0.2108 0.2715
Zn1 0.7247 0.4494 0.0527
Zn2 0.0471 0.0942 0.3863
Zn3 0.9529 0.9058 0.6137
Zn4 0.2753 0.5506 0.9473

Summary:
* magnetization: 0.0 μB/f.u.
* N(E_F): 0.565 states/eV per atom
* ΔH_f (0 K): -0.28 eV per atom
* uncorrected energy: -19.3 eV per cell
* ΔE to the lowest computed polymorph: 0 meV per atom


(11)
The following is a DFT calculation (PBE) of a relaxed structure of Tc2OsCl.

Cell: 5.2153 5.2153 5.2153 Å, 148.11 129.42 61.05°
Sites, in units of the cell vectors:
Tc1 0.7252 0.2252 0.5000
Tc2 0.0041 0.0041 0.0000
Os1 0.2665 0.7665 0.5000
Cl1 0.5042 0.5042 0.0000

Summary:
* magnetization: 0.0 μB/f.u.
* N(E_F): 0.990 states/eV per atom
* formation energy without anion corrections: 0.7154 eV/atom
* uncorrected energy: -30.9 eV per cell
* ΔE to the lowest computed polymorph: 429 meV per atom


(12)
The following is a DFT calculation (PBE) of a relaxed structure of GdDyPd2.

Cell: 3.4551 5.0330 5.0330 Å, 90.00 90.00 90.00°
Site moments in Bohr magnetons follow the coordinates.
Sites, in units of the cell vectors:
Pd1 0.0000 0.0000 0.5000  -0.01
Pd2 0.0000 0.5000 0.0000  -0.01
Dy1 0.5000 0.5000 0.5000  -0.02
Gd1 0.5000 0.0000 0.0000  7.01

Summary:
* magnetization: 7.1 μB/f.u.
* N(E_F): 0.595 states/eV per atom
* ΔH_f (0 K): -0.86 eV per atom
* uncorrected energy: -32.5 eV per cell
* ΔE to the lowest computed polymorph: 0 meV per atom


(13)
The following is a DFT calculation (PBE) of a relaxed structure of LaZr2Sc.

Cell: 3.3975 4.4067 7.0422 Å, 90.00 90.00 90.00°
Sites, in units of the cell vectors:
Zr1 0.0000 0.0000 0.0015
Zr2 0.5000 0.5000 0.2183
La1 0.0000 0.0000 0.4960
Sc1 0.5000 0.5000 0.7842

Summary:
* magnetization: 0.0 μB/f.u.
* N(E_F): 1.450 states/eV per atom
* ΔH_f (0 K): 0.10 eV per atom
* uncorrected energy: -27.9 eV per cell
* ΔE to the lowest computed polymorph: 7 meV per atom


(14)
The following is a DFT calculation (PBE) of a relaxed structure of La2MgBe.

Cell: 6.3167 6.3167 5.3563 Å, 64.85 64.85 33.08°
Sites, in units of the cell vectors:
Be1 0.7728 0.7728 0.7262
Mg1 0.4472 0.4472 0.5531
La1 0.0369 0.0369 0.9634
La2 0.2431 0.2431 0.2573

Summary:
* magnetization: 0.0 μB/f.u.
* N(E_F): 0.865 states/eV per atom
* ΔH_f (0 K): 0.10 eV per atom
* uncorrected energy: -14.8 eV per cell
* ΔE to the lowest computed polymorph: 59 meV per atom


(15)
The following is a DFT calculation (PBE) of a relaxed structure of Sm6TlGe2.

Cell: 8.7803 8.7803 8.7803 Å, 106.33 110.24 111.90°
Sites, in units of the cell vectors:
Sm1 0.4572 0.2754 0.1818
Sm2 0.9065 0.7246 0.1818
Sm3 0.7046 0.0291 0.3245
Sm4 0.0935 0.2754 0.8182
Sm5 0.2954 0.9709 0.6755
Sm6 0.7970 0.2464 0.0434
Sm7 0.7970 0.7536 0.5507
Sm8 0.5428 0.7246 0.8182
Sm9 0.2030 0.2464 0.4493
Sm10 0.2954 0.6199 0.3245
Sm11 0.7046 0.3801 0.6755
Sm12 0.2030 0.7536 0.9566
Tl1 0.0000 0.5000 0.5000
Tl2 0.0000 0.0000 0.0000
Ge1 0.5000 0.6201 0.1201
Ge2 0.6410 0.0000 0.6410
Ge3 0.5000 0.3799 0.8799
Ge4 0.3590 0.0000 0.3590

Summary:
* magnetization: 0.0 μB/f.u.
* N(E_F): 0.930 states/eV per atom
* ΔH_f (0 K): -0.51 eV per atom
* uncorrected energy: -89.1 eV per cell


(16)
The following is a DFT calculation (PBE) of a relaxed structure of TaNiTe3.

Cell: 3.6756 7.2062 10.6774 Å, 117.17 90.00 90.00°
Sites, in units of the cell vectors:
Te1 0.2500 0.0401 0.3833
Te2 0.2500 0.5934 0.7005
Te3 0.7500 0.4066 0.2995
Te4 0.2500 0.2280 0.9147
Te5 0.7500 0.7720 0.0853
Te6 0.7500 0.9599 0.6167
Ni1 0.7500 0.7831 0.3404
Ni2 0.2500 0.2169 0.6596
Ta1 0.2500 0.0969 0.1272
Ta2 0.7500 0.9031 0.8728

Summary:
* magnetization: 0.0 μB/f.u.
* N(E_F): 0.664 states/eV per atom
* formation energy without anion corrections: -0.1237 eV/atom
* uncorrected energy: -55.4 eV per cell
* ΔE to the lowest computed polymorph: 0 meV per atom


(17)
The following is a DFT calculation (PBE) of a relaxed structure of YPaRu4.

Cell: 5.3372 5.3372 5.3372 Å, 60.00 60.00 60.00°
Sites, in units of the cell vectors:
Ru1 0.6251 0.6251 0.1246
Ru2 0.6251 0.1246 0.6251
Ru3 0.6251 0.6251 0.6251
Ru4 0.1246 0.6251 0.6251
Pa1 0.2500 0.2500 0.2500
Y1 0.0000 0.0000 0.0000

Summary:
* magnetization: 0.0 μB/f.u.
* N(E_F): 1.493 states/eV per atom
* ΔH_f (0 K): -0.28 eV per atom
* uncorrected energy: -54.8 eV per cell